Here is an optimized crystal structure of Ga3PtS from the Alexandria database. Energies are from PBE.

Cell and atoms, written as POSCAR:
```
Ga3PtS
1.0
4.827 0.000 0.000
0.000 4.827 0.000
0.000 0.000 4.827
S Ga Pt
1 3 1
direct
0.500 0.500 0.500
0.500 0.000 0.000
0.000 0.500 0.000
0.000 0.000 0.500
0.000 0.000 0.000
```

space-group type: Pm-3m (221)
calculated volume: 112.44 Å³ per cell
formation energy without anion corrections: -0.240 eV per atom